The following is a DFT calculation (GGA-PBE) of a geometry-optimized CaPt3S structure.

Cell: 4.9682 4.9682 4.9682 Å, 90.00 90.00 90.00°
Last column: nearest neighbours and their distance in Å.
Atoms (fractional coordinates):
Ca 0.0000 0.0000 0.0000  6 Pt 2.48
Pt 0.0000 0.0000 0.5000  2 Ca 2.48
Pt 0.5000 0.0000 0.0000  2 Ca 2.48
Pt 0.0000 0.5000 0.0000  2 Ca 2.48
S 0.5000 0.5000 0.5000  12 Pt 3.51

## Properties
- Uncorrected formation energy: 755 kJ/mol of formula units
- Space group: Pm-3m, No. 221
- Offset from the most stable computed form: 1929 meV per atom